CaY2MgFe after structural relaxation. Source: Alexandria via LeMat-Bulk, functional PBE.

Structure (POSCAR):
```
CaY2MgFe
1.0
-3.2603 -2.4308 -3.1503
3.6895 -3.3721 -1.2164
-1.5378 -3.1271 4.0045
Y Ca Mg Fe
2 1 1 1
Direct
0.0000 0.5000 0.0000
0.5000 0.0000 0.0000
0.5000 0.5000 0.5000
0.0000 0.0000 0.5000
0.0000 0.0000 0.0000
```

SG: P4/mmm
E (eV/cell): -24.5
Fermi-level density of states (states/eV/cell): 4.6